Entry 1:
The following is a GGA-PBEsol calculation of an optimized crystal structure of CaMgP2, from Alexandria.

Computed properties:
Space group: No. 71
Calculated volume in Å³/cell: 74.96
Uncorrected energy in eV per atom: -4.351
Energy relative to the lowest polymorph listed for this composition in eV/atom: 0.0544
Energy relative to the elements in eV/atom: -0.49

```
CaMgP2
1.0
-2.247 2.273 3.669
2.247 -2.273 3.669
2.247 2.273 -3.669
Ca Mg P
1 1 2
Cartesian
0.000 0.000 0.000
0.000 0.000 3.669
2.247 0.000 1.839
0.000 2.273 1.830
```


Entry 2:
The following is a GGA-PBEsol calculation of an optimized crystal structure of CaMgP2, from Alexandria.

Computed properties:
Space group: No. 12
Calculated volume in Å³/cell: 79.64
Uncorrected energy in eV per atom: -4.405
Energy relative to the lowest polymorph listed for this composition in eV/atom: 0.0000
Energy relative to the elements in eV/atom: -0.55

```
CaMgP2
1.0
3.893 -1.939 0.000
3.893 1.939 0.000
-1.827 0.000 5.274
Ca Mg P
1 1 2
Cartesian
0.000 0.000 0.000
2.980 0.000 2.637
0.605 0.000 3.725
5.355 0.000 1.549
```


Entry 3:
The following is a GGA-PBEsol calculation of an optimized crystal structure of CaMgP2, from Alexandria.

Computed properties:
Space group: No. 47
Calculated volume in Å³/cell: 74.01
Uncorrected energy in eV per atom: -4.374
Energy relative to the lowest polymorph listed for this composition in eV/atom: 0.0308
Energy relative to the elements in eV/atom: -0.52

```
CaMgP2
1.0
3.752 0.000 0.000
0.000 4.405 0.000
0.000 0.000 4.478
Ca Mg P
1 1 2
Cartesian
0.000 0.000 0.000
0.000 2.202 2.239
1.876 0.000 2.239
1.876 2.202 0.000
```


Entry 4:
The following is a GGA-PBEsol calculation of an optimized crystal structure of Ca2MgP, from Alexandria.

Computed properties:
Space group: No. 225
Calculated volume in Å³/cell: 97.38
Uncorrected energy in eV per atom: -3.290
Energy relative to the lowest polymorph listed for this composition in eV/atom: 0.0000
Energy relative to the elements in eV/atom: -0.35

```
Ca2MgP
1.0
0.000 3.652 3.652
3.652 0.000 3.652
3.652 3.652 0.000
Ca Mg P
2 1 1
Cartesian
1.826 1.826 1.826
5.477 5.477 5.477
0.000 0.000 0.000
3.652 3.652 3.652
```


Entry 5:
The following is a GGA-PBEsol calculation of an optimized crystal structure of CaMg4P, from Alexandria.

Computed properties:
Space group: No. 216
Calculated volume in Å³/cell: 140.95
Uncorrected energy in eV per atom: -2.334
Energy relative to the elements in eV/atom: 0.13

```
CaMg4P
1.0
0.000 4.131 4.131
4.131 0.000 4.131
4.131 4.131 0.000
Ca Mg P
1 4 1
Cartesian
0.000 0.000 0.000
3.103 3.103 3.103
5.158 5.158 3.103
5.158 3.103 5.158
3.103 5.158 5.158
6.196 6.196 6.196
```


Entry 6:
The following is a GGA-PBEsol calculation of an optimized crystal structure of Ca2MgP, from Alexandria.

Computed properties:
Space group: No. 122
Calculated volume in Å³/cell: 234.29
Uncorrected energy in eV per atom: -3.255
Energy relative to the lowest polymorph listed for this composition in eV/atom: 0.0355
Energy relative to the elements in eV/atom: -0.31

```
Ca2MgP
1.0
-4.111 4.111 3.466
4.111 -4.111 3.466
4.111 4.111 -3.466
Ca Mg P
4 2 2
Cartesian
6.166 1.552 -0.867
1.552 2.055 0.867
-2.055 2.559 2.600
2.559 2.055 4.333
4.111 0.000 1.733
0.000 0.000 3.466
0.000 0.000 0.000
0.000 4.111 1.733
```


Entry 7:
The following is a GGA-PBEsol calculation of an optimized crystal structure of CaMgP2Se6, from Alexandria.

Computed properties:
Space group: No. 146
Calculated volume in Å³/cell: 252.32
E_form (uncorrected) in eV/atom: -0.7216
Uncorrected energy in eV per atom: -4.575

```
CaMgP2Se6
1.0
3.270 1.888 6.811
-3.270 1.888 6.811
0.000 -3.776 6.811
Ca Mg P Se
1 1 2 6
Cartesian
0.000 0.000 0.000
0.000 0.000 13.318
0.000 0.000 5.551
0.000 0.000 7.793
-2.099 -0.286 8.412
-1.024 -1.940 11.696
1.297 -1.675 8.412
-1.168 1.857 11.696
0.802 1.961 8.412
2.193 0.083 11.696
```


Entry 8:
The following is a GGA-PBEsol calculation of an optimized crystal structure of CaMg2Pb2, from Alexandria.

Computed properties:
Space group: No. 139
Calculated volume in Å³/cell: 140.10
Uncorrected energy in eV per atom: -2.960
Energy relative to the elements in eV/atom: -0.25

```
CaMg2Pb2
1.0
-2.311 2.311 6.557
2.311 -2.311 6.557
2.311 2.311 -6.557
Ca Mg Pb
1 2 2
Cartesian
0.000 0.000 0.000
2.311 0.000 3.278
0.000 2.311 3.278
0.000 0.000 5.076
0.000 0.000 8.037
```


Entry 9:
The following is a GGA-PBEsol calculation of an optimized crystal structure of Ca4MgPb, from Alexandria.

Computed properties:
Space group: No. 216
Calculated volume in Å³/cell: 210.67
Uncorrected energy in eV per atom: -2.182
Energy relative to the elements in eV/atom: 0.19

```
Ca4MgPb
1.0
0.000 4.723 4.723
4.723 0.000 4.723
4.723 4.723 0.000
Ca Mg Pb
4 1 1
Cartesian
1.176 1.176 1.176
3.547 3.547 1.176
3.547 1.176 3.547
1.176 3.547 3.547
4.723 4.723 4.723
7.084 7.084 7.084
```


Entry 10:
The following is a GGA-PBEsol calculation of an optimized crystal structure of CaMg2Pd2, from Alexandria.

Computed properties:
Space group: No. 127
Calculated volume in Å³/cell: 187.06
Uncorrected energy in eV per atom: -4.055
Energy relative to the lowest polymorph listed for this composition in eV/atom: 0.0000
Energy relative to the elements in eV/atom: -0.56

```
CaMg2Pd2
1.0
7.840 0.000 0.000
0.000 7.840 0.000
0.000 0.000 3.043
Ca Mg Pd
2 4 4
Cartesian
0.000 0.000 0.000
3.920 3.920 0.000
1.059 2.861 1.522
2.861 6.780 1.522
4.979 1.059 1.522
6.780 4.979 1.522
1.249 5.169 0.000
2.671 1.249 0.000
5.169 6.591 0.000
6.591 2.671 0.000
```


Entry 11:
The following is a GGA-PBEsol calculation of an optimized crystal structure of CaMg2Pd2, from Alexandria.

Computed properties:
Space group: No. 139
Calculated volume in Å³/cell: 102.67
Uncorrected energy in eV per atom: -4.030
Energy relative to the lowest polymorph listed for this composition in eV/atom: 0.0251
Energy relative to the elements in eV/atom: -0.53

```
CaMg2Pd2
1.0
-2.084 2.084 5.912
2.084 -2.084 5.912
2.084 2.084 -5.912
Ca Mg Pd
1 2 2
Cartesian
0.000 0.000 0.000
2.084 0.000 2.956
0.000 2.084 2.956
0.000 0.000 4.614
0.000 0.000 7.210
```


Entry 12:
The following is a GGA-PBEsol calculation of an optimized crystal structure of CaMgPd3, from Alexandria.

Computed properties:
Space group: No. 221
Calculated volume in Å³/cell: 100.74
Uncorrected energy in eV per atom: -4.418
Energy relative to the elements in eV/atom: -0.07

```
CaMgPd3
1.0
4.653 0.000 0.000
0.000 4.653 0.000
0.000 0.000 4.653
Ca Mg Pd
1 1 3
Cartesian
0.000 0.000 0.000
2.327 2.327 2.327
0.000 2.327 2.327
2.327 0.000 2.327
2.327 2.327 0.000
```


Entry 13:
The following is a GGA-PBEsol calculation of an optimized crystal structure of CaPmMg2, from Alexandria.

Computed properties:
Space group: No. 225
Calculated volume in Å³/cell: 115.41
Uncorrected energy in eV per atom: -2.758
Energy relative to the elements in eV/atom: -0.08

```
CaPmMg2
1.0
0.000 3.864 3.864
3.864 0.000 3.864
3.864 3.864 0.000
Ca Pm Mg
1 1 2
Cartesian
0.000 0.000 0.000
3.864 3.864 3.864
1.932 1.932 1.932
5.797 5.797 5.797
```


Entry 14:
The following is a GGA-PBEsol calculation of an optimized crystal structure of CaMg2Pt2, from Alexandria.

Computed properties:
Space group: No. 127
Calculated volume in Å³/cell: 182.90
Uncorrected energy in eV per atom: -4.611
Energy relative to the lowest polymorph listed for this composition in eV/atom: 0.0093
Energy relative to the elements in eV/atom: -0.71

```
CaMg2Pt2
1.0
7.857 0.000 0.000
0.000 7.857 0.000
0.000 0.000 2.963
Ca Mg Pt
2 4 4
Cartesian
0.000 0.000 0.000
3.928 3.928 0.000
1.038 2.890 1.481
2.890 6.818 1.481
4.967 1.038 1.481
6.818 4.967 1.481
1.284 5.213 0.000
2.644 1.284 0.000
5.213 6.573 0.000
6.573 2.644 0.000
```


Entry 15:
The following is a GGA-PBEsol calculation of an optimized crystal structure of Ca3MgPt, from Alexandria.

Computed properties:
Space group: No. 221
Calculated volume in Å³/cell: 166.64
Uncorrected energy in eV per atom: -3.382
Energy relative to the elements in eV/atom: -0.37

```
Ca3MgPt
1.0
5.503 0.000 0.000
0.000 5.503 0.000
0.000 0.000 5.503
Ca Mg Pt
3 1 1
Cartesian
0.000 0.000 2.751
0.000 2.751 0.000
2.751 0.000 0.000
2.751 2.751 2.751
0.000 0.000 0.000
```


Entry 16:
The following is a GGA-PBEsol calculation of an optimized crystal structure of Ca2MgPt2, from Alexandria.

Computed properties:
Space group: No. 71
Calculated volume in Å³/cell: 107.60
Uncorrected energy in eV per atom: -4.815
Energy relative to the elements in eV/atom: -0.83

```
Ca2MgPt2
1.0
-2.146 2.891 4.336
2.146 -2.891 4.336
2.146 2.891 -4.336
Ca Mg Pt
2 1 2
Cartesian
0.000 0.000 1.737
0.000 0.000 6.934
0.000 2.891 0.000
2.146 1.342 0.000
0.000 1.550 4.336
```


Entry 17:
The following is a GGA-PBEsol calculation of an optimized crystal structure of CaMg2Pt2, from Alexandria.

Computed properties:
Space group: No. 139
Calculated volume in Å³/cell: 101.13
Uncorrected energy in eV per atom: -4.621
Energy relative to the lowest polymorph listed for this composition in eV/atom: 0.0000
Energy relative to the elements in eV/atom: -0.72

```
CaMg2Pt2
1.0
-2.066 2.066 5.921
2.066 -2.066 5.921
2.066 2.066 -5.921
Ca Mg Pt
1 2 2
Cartesian
0.000 0.000 0.000
2.066 0.000 2.961
0.000 2.066 2.961
0.000 0.000 4.634
0.000 0.000 7.208
```


Entry 18:
The following is a GGA-PBEsol calculation of an optimized crystal structure of Rb3CaMg, from Alexandria.

Computed properties:
Space group: No. 221
Calculated volume in Å³/cell: 353.06
Uncorrected energy in eV per atom: -0.977
Energy relative to the elements in eV/atom: 0.41

```
Rb3CaMg
1.0
7.068 0.000 0.000
0.000 7.068 0.000
0.000 0.000 7.068
Rb Ca Mg
3 1 1
Cartesian
0.000 0.000 3.534
0.000 3.534 0.000
3.534 0.000 0.000
3.534 3.534 3.534
0.000 0.000 0.000
```


Entry 19:
The following is a GGA-PBEsol calculation of an optimized crystal structure of Ca2MgRe, from Alexandria.

Computed properties:
Space group: No. 44
Calculated volume in Å³/cell: 96.53
Uncorrected energy in eV per atom: -4.252
Energy relative to the elements in eV/atom: 0.58

```
Ca2MgRe
1.0
-1.526 2.728 5.798
1.526 -2.728 5.798
1.526 2.728 -5.798
Ca Mg Re
2 1 1
Cartesian
0.000 0.000 0.000
0.000 2.728 2.237
1.526 0.000 3.277
0.000 0.000 5.513
```


Entry 20:
The following is a GGA-PBEsol calculation of an optimized crystal structure of CaMg3Re, from Alexandria.

Computed properties:
Space group: No. 221
Calculated volume in Å³/cell: 130.27
Uncorrected energy in eV per atom: -3.493
Energy relative to the elements in eV/atom: 0.63

```
CaMg3Re
1.0
5.069 0.000 0.000
0.000 5.069 0.000
0.000 0.000 5.069
Ca Mg Re
1 3 1
Cartesian
0.000 0.000 0.000
0.000 2.535 2.535
2.535 0.000 2.535
2.535 2.535 0.000
2.535 2.535 2.535
```


Entry 21:
The following is a GGA-PBEsol calculation of an optimized crystal structure of CaMgRe, from Alexandria.

Computed properties:
Space group: No. 216
Calculated volume in Å³/cell: 70.99
Uncorrected energy in eV per atom: -4.296
Energy relative to the elements in eV/atom: 1.43

```
CaMgRe
1.0
0.000 3.286 3.286
3.286 0.000 3.286
3.286 3.286 0.000
Ca Mg Re
1 1 1
Cartesian
0.000 0.000 0.000
1.643 1.643 1.643
3.286 3.286 3.286
```


Entry 22:
The following is a GGA-PBEsol calculation of an optimized crystal structure of Ca2MgRe, from Alexandria.

Computed properties:
Space group: No. 47
Calculated volume in Å³/cell: 90.91
Uncorrected energy in eV per atom: -4.212
Energy relative to the elements in eV/atom: 0.62

```
Ca2MgRe
1.0
2.954 0.000 0.000
0.000 4.558 0.000
0.000 0.000 6.751
Ca Mg Re
2 1 1
Cartesian
0.000 0.000 1.508
0.000 0.000 5.244
1.477 2.279 3.376
1.477 2.279 0.000
```


Entry 23:
The following is a GGA-PBEsol calculation of an optimized crystal structure of SrCaMgRe2, from Alexandria.

Computed properties:
Space group: No. 123
Calculated volume in Å³/cell: 121.59
Uncorrected energy in eV per atom: -3.981
Energy relative to the elements in eV/atom: 2.49

```
SrCaMgRe2
1.0
4.892 0.000 0.000
0.000 4.892 0.000
0.000 0.000 5.081
Sr Ca Mg Re
1 1 1 2
Cartesian
0.000 0.000 0.000
0.000 0.000 2.540
2.446 2.446 2.540
0.000 2.446 0.000
2.446 0.000 0.000
```


Entry 24:
The following is a GGA-PBEsol calculation of an optimized crystal structure of CaMgZrRe2, from Alexandria.

Computed properties:
Space group: No. 123
Calculated volume in Å³/cell: 106.84
Uncorrected energy in eV per atom: -6.116
Energy relative to the elements in eV/atom: 1.80

```
CaMgZrRe2
1.0
4.688 0.000 0.000
0.000 4.688 0.000
0.000 0.000 4.861
Ca Mg Zr Re
1 1 1 2
Cartesian
0.000 0.000 0.000
2.344 2.344 2.430
2.344 2.344 0.000
0.000 2.344 2.430
2.344 0.000 2.430
```


Entry 25:
The following is a GGA-PBEsol calculation of an optimized crystal structure of CaMgRh, from Alexandria.

Computed properties:
Space group: No. 107
Calculated volume in Å³/cell: 62.58
Uncorrected energy in eV per atom: -4.282
Energy relative to the elements in eV/atom: -0.29

```
CaMgRh
1.0
-1.653 1.653 5.723
1.653 -1.653 5.723
1.653 1.653 -5.723
Ca Mg Rh
1 1 1
Cartesian
0.000 0.000 0.000
0.000 0.000 8.388
0.000 0.000 3.951
```


Entry 26:
The following is a GGA-PBEsol calculation of an optimized crystal structure of Ca4MgRh, from Alexandria.

Computed properties:
Space group: No. 216
Calculated volume in Å³/cell: 170.01
Uncorrected energy in eV per atom: -2.444
Energy relative to the elements in eV/atom: 0.62

```
Ca4MgRh
1.0
0.000 4.397 4.397
4.397 0.000 4.397
4.397 4.397 0.000
Ca Mg Rh
4 1 1
Cartesian
1.089 1.089 1.089
3.308 3.308 1.089
3.308 1.089 3.308
1.089 3.308 3.308
4.397 4.397 4.397
6.595 6.595 6.595
```


Entry 27:
The following is a GGA-PBEsol calculation of an optimized crystal structure of CaMg2Rh, from Alexandria.

Computed properties:
Space group: No. 63
Calculated volume in Å³/cell: 173.78
Uncorrected energy in eV per atom: -3.758
Energy relative to the elements in eV/atom: -0.33

```
CaMg2Rh
1.0
2.113 -5.168 0.000
2.113 5.168 0.000
0.000 0.000 7.957
Ca Mg Rh
2 4 2
Cartesian
2.113 4.570 5.968
2.113 -4.570 1.989
2.113 1.637 4.456
2.113 1.637 7.479
2.113 -1.637 0.478
2.113 -1.637 3.501
2.113 2.771 1.989
2.113 -2.771 5.968
```


Entry 28:
The following is a GGA-PBEsol calculation of an optimized crystal structure of CaMgRh, from Alexandria.

Computed properties:
Space group: No. 216
Calculated volume in Å³/cell: 66.69
Uncorrected energy in eV per atom: -3.776
Energy relative to the elements in eV/atom: 0.22

```
CaMgRh
1.0
0.000 3.219 3.219
3.219 0.000 3.219
3.219 3.219 0.000
Ca Mg Rh
1 1 1
Cartesian
0.000 0.000 0.000
1.609 1.609 1.609
3.219 3.219 3.219
```